No. 1
{"formula": "Ba2YFe3O8", "functional": "GGA-PBEsol", "state": "relaxed", "cell": [[3.8827, 0.0000, 0.0000], [0.0000, 3.8827, 0.0000], [0.0000, 0.0000, 11.2364]], "species": ["Ba", "Ba", "Y", "Fe", "Fe", "Fe", "O", "O", "O", "O", "O", "O", "O", "O"], "fractional_positions": [[0.0000, 0.0000, 0.1696], [0.0000, 0.0000, 0.8304], [0.0000, 0.0000, 0.5000], [0.5000, 0.5000, 0.0000], [0.5000, 0.5000, 0.3466], [0.5000, 0.5000, 0.6534], [0.0000, 0.5000, 0.0000], [0.0000, 0.5000, 0.3754], [0.0000, 0.5000, 0.6246], [0.5000, 0.0000, 0.0000], [0.5000, 0.0000, 0.3754], [0.5000, 0.0000, 0.6246], [0.5000, 0.5000, 0.1765], [0.5000, 0.5000, 0.8235]], "raw_formation_energy_ev_per_atom": -2.152, "energy_ev_per_cell": -110.14, "sg": "No. 123"}

No. 2
{"formula": "WBr3", "functional": "GGA-PBEsol", "state": "relaxed", "cell": [[1.6123, 0.9309, 9.5920], [-1.6123, 0.9309, 9.5920], [0.0000, -1.8617, 9.5920]], "species": ["W", "Br", "Br", "Br"], "fractional_positions": [[0.0000, 0.0000, 0.0000], [0.2703, 0.2703, 0.2703], [0.5000, 0.5000, 0.5000], [0.7297, 0.7297, 0.7297]], "de_polymorph_mev_per_atom": 233, "raw_formation_energy_ev_per_atom": 0.130, "energy_ev_per_cell": -18.90, "sg": "No. 166"}

No. 3
{"formula": "SiTe2Ir", "functional": "GGA-PBEsol", "state": "relaxed", "cell": [[1.8454, 1.0654, 8.1693], [-1.8454, 1.0654, 8.1693], [0.0000, -2.1308, 8.1693]], "species": ["Si", "Te", "Te", "Ir"], "fractional_positions": [[0.0000, 0.0000, 0.0000], [0.3988, 0.3988, 0.3988], [0.6012, 0.6012, 0.6012], [0.5000, 0.5000, 0.5000]], "raw_formation_energy_ev_per_atom": 0.793, "energy_ev_per_cell": -19.45, "sg": "No. 166"}

What did the second record say?
{"formula": "WBr3", "functional": "GGA-PBEsol", "state": "relaxed", "cell": [[1.6123, 0.9309, 9.5920], [-1.6123, 0.9309, 9.5920], [0.0000, -1.8617, 9.5920]], "species": ["W", "Br", "Br", "Br"], "fractional_positions": [[0.0000, 0.0000, 0.0000], [0.2703, 0.2703, 0.2703], [0.5000, 0.5000, 0.5000], [0.7297, 0.7297, 0.7297]], "de_polymorph_mev_per_atom": 233, "raw_formation_energy_ev_per_atom": 0.130, "energy_ev_per_cell": -18.90, "sg": "No. 166"}

Copy entry 2 word for word.
{"formula": "WBr3", "functional": "GGA-PBEsol", "state": "relaxed", "cell": [[1.6123, 0.9309, 9.5920], [-1.6123, 0.9309, 9.5920], [0.0000, -1.8617, 9.5920]], "species": ["W", "Br", "Br", "Br"], "fractional_positions": [[0.0000, 0.0000, 0.0000], [0.2703, 0.2703, 0.2703], [0.5000, 0.5000, 0.5000], [0.7297, 0.7297, 0.7297]], "de_polymorph_mev_per_atom": 233, "raw_formation_energy_ev_per_atom": 0.130, "energy_ev_per_cell": -18.90, "sg": "No. 166"}

What is the formula in the first record? Ba2YFe3O8